This record from Alexandria describes a relaxed structure of TaRe4. The functional is GGA-PBEsol. Values from VASP.

Structure (Quantum ESPRESSO input):
```
&SYSTEM
  ibrav = 0, nat = 5, ntyp = 2
/
ATOMIC_SPECIES
Ta 180.95 Ta.upf
Re 186.21 Re.upf
CELL_PARAMETERS angstrom
-2.3309 -2.7798 -1.7091
2.9114 -0.8231 -2.6320
1.6903 -1.9222 5.5258
ATOMIC_POSITIONS angstrom
Ta 0.0000 0.0000 0.0000
Re 2.4460 -2.2733 0.3616
Re -0.1752 -3.2517 0.8231
Re 1.5442 -2.9033 2.6161
Re 0.7265 -2.6217 -1.4314
```

- E_form (kJ/mol of atoms) = 57
- symmetry = No. 139

=====

This record from Alexandria describes a relaxed structure of Ca8ZnCo3Si8O28. The functional is GGA-PBEsol. Values from VASP.

Structure (Quantum ESPRESSO input):
```
&SYSTEM
  ibrav = 0, nat = 48, ntyp = 5
/
ATOMIC_SPECIES
Ca 40.08 Ca.upf
O 16.00 O.upf
Si 28.09 Si.upf
Zn 65.41 Zn.upf
Co 58.93 Co.upf
CELL_PARAMETERS angstrom
4.9961 0.0000 0.0000
0.0000 11.0238 0.0000
0.0000 0.0000 11.0238
ATOMIC_POSITIONS angstrom
Ca 2.4750 10.1180 8.2050
Ca 2.5130 2.6816 6.4139
Ca 2.4830 6.4139 8.3422
Ca 2.4750 0.9058 2.8188
Ca 2.4830 4.6099 2.6816
Ca 2.5210 8.2050 0.9058
Ca 2.5130 8.3422 4.6099
Ca 2.5210 2.8188 10.1180
O 1.0823 0.5071 9.5187
O 1.0823 10.5166 1.5051
O 3.9138 9.5187 10.5166
O 4.0739 8.2694 8.2679
O 3.8576 9.5962 6.1103
O 1.0875 5.0076 7.0258
O 3.9138 1.5051 0.5071
O 1.2890 2.8131 1.1977
O 3.9086 3.9980 5.0076
O 1.2816 8.3382 6.7020
O 0.9221 8.2679 2.7544
O 4.0739 2.7544 2.7559
O 3.8672 4.0750 0.5948
O 1.1385 4.9135 9.5962
O 3.8672 6.9488 10.4290
O 3.9086 7.0258 6.0162
O 3.7071 9.8260 2.8131
O 1.1385 6.1103 1.4276
O 3.7144 4.3218 8.3382
O 1.0875 6.0162 3.9980
O 1.1288 0.5948 6.9488
O 3.7071 1.1977 8.2106
O 1.2816 2.6855 4.3218
O 3.8576 1.4276 4.9135
O 1.2890 8.2106 9.8260
O 1.1288 10.4290 4.0750
O 0.9221 2.7559 8.2694
O 3.7144 6.7020 2.6855
Si 0.3187 1.1956 8.2455
Si 4.6773 8.2455 9.8282
Si 0.3259 4.3195 8.2976
Si 0.3187 9.8282 2.7783
Si 4.6702 2.7262 4.3195
Si 0.3259 6.7043 2.7262
Si 4.6773 2.7783 1.1956
Si 4.6702 8.2976 6.7043
Zn 0.0000 5.5119 5.5119
Co 0.0000 0.0000 0.0000
Co 4.9950 5.5119 0.0000
Co 0.0010 0.0000 5.5119
```

- symmetry = No. 81
- energy relative to the elements, uncorrected (eV/atom) = -2.64

=====

This record from Alexandria describes a relaxed structure of Y2TlCo. The functional is GGA-PBEsol. Values from VASP.

Structure (Quantum ESPRESSO input):
```
&SYSTEM
  ibrav = 0, nat = 4, ntyp = 3
/
ATOMIC_SPECIES
Tl 204.38 Tl.upf
Y 88.91 Y.upf
Co 58.93 Co.upf
CELL_PARAMETERS angstrom
-0.7374 -1.3637 3.2832
4.7536 -1.3160 0.5211
0.9945 4.4053 2.0532
ATOMIC_POSITIONS angstrom
Tl 0.1285 1.5208 2.6682
Y 0.0000 0.0000 0.0000
Y 2.8741 1.5447 1.2872
Co 2.0081 -1.3399 1.9021
```

- E_form (kJ/mol of atoms) = -14
- symmetry = No. 123